Record 1
An optimized crystal structure of AcPrSmSe3, computed with PBE-GGA.

a = 8.3031 Å, b = 4.2456 Å, c = 10.7419 Å
α = 90.00°, β = 103.39°, γ = 90.00°
Positions (direct):
Ac: 0.1838 0.2500 0.2073
Ac: 0.8162 0.7500 0.7927
Pr: 0.1744 0.2500 0.6220
Pr: 0.8256 0.7500 0.3780
Sm: 0.3409 0.7500 0.9048
Sm: 0.6591 0.2500 0.0952
Se: 0.0969 0.2500 0.8922
Se: 0.2011 0.7500 0.4320
Se: 0.4697 0.7500 0.1886
Se: 0.5303 0.2500 0.8114
Se: 0.7989 0.2500 0.5680
Se: 0.9031 0.7500 0.1078

Calculated values
The total energy is -5.689 eV/atom. The formation energy (no corrections) is -1.679 eV per atom. As for the space group: P2_1/m (11).

Record 2
An optimized crystal structure of Rb2NpTe3, computed with PBE-GGA.

a = 8.2235 Å, b = 8.2235 Å, c = 8.9610 Å
α = 99.02°, β = 99.02°, γ = 119.99°
Positions (direct):
Rb: 0.0000 0.0000 0.0000
Rb: 0.1527 0.8473 0.5000
Rb: 0.5000 0.5000 0.5000
Rb: 0.8473 0.1527 0.5000
Np: 0.3321 0.6679 0.0000
Np: 0.6679 0.3321 0.0000
Te: 0.0702 0.4498 0.2039
Te: 0.3098 0.3098 0.8000
Te: 0.4498 0.0702 0.2039
Te: 0.5502 0.9298 0.7961
Te: 0.6902 0.6902 0.2000
Te: 0.9298 0.5502 0.7961

Calculated values
The total energy is -4.940 eV/atom. The value obtained for the polymorph energy (0 for the lowest one) is 0.00 eV per formula unit. The formation energy (no corrections) is -0.890 eV per atom. As for the space group: C2/m (12).

What did the second record say?
An optimized crystal structure of Rb2NpTe3, computed with PBE-GGA.

a = 8.2235 Å, b = 8.2235 Å, c = 8.9610 Å
α = 99.02°, β = 99.02°, γ = 119.99°
Positions (direct):
Rb: 0.0000 0.0000 0.0000
Rb: 0.1527 0.8473 0.5000
Rb: 0.5000 0.5000 0.5000
Rb: 0.8473 0.1527 0.5000
Np: 0.3321 0.6679 0.0000
Np: 0.6679 0.3321 0.0000
Te: 0.0702 0.4498 0.2039
Te: 0.3098 0.3098 0.8000
Te: 0.4498 0.0702 0.2039
Te: 0.5502 0.9298 0.7961
Te: 0.6902 0.6902 0.2000
Te: 0.9298 0.5502 0.7961

Calculated values
The total energy is -4.940 eV/atom. The value obtained for the polymorph energy (0 for the lowest one) is 0.00 eV per formula unit. The formation energy (no corrections) is -0.890 eV per atom. As for the space group: C2/m (12).